VASP calculation (GGA+U) on crystalline MgMn9CdO10 at its relaxed geometry.

Lattice parameters (Å, degrees): 6.2972 6.3191 8.5907 71.82 72.73 61.49
Last column: nearest neighbours and their distance in Å.
Fractional positions:
Mg 0.0000 0.0000 0.0000  4 O 1.93-1.99
Mn 0.4023 0.4746 0.4753  4 O 2.13-2.36
Mn 0.4503 0.9836 0.2204  5 O 2.17-2.30
Mn 0.4545 0.9017 0.5914  3 O 2.06-2.24
Mn 0.4596 0.1438 0.8381  4 O 2.10-2.32
Mn 0.4952 0.5225 0.0487  3 O 2.02-2.15
Mn 0.8818 0.1568 0.3424  5 O 2.15-2.39
Mn 0.8878 0.3929 0.6964  4 O 2.09-2.31
Mn 0.9687 0.5182 0.0007  4 O 2.04-2.21
Mn 0.9765 0.8592 0.6765  5 O 2.13-2.38
Cd 0.9318 0.6185 0.3603  1 O 2.22
O 0.1257 0.6537 0.0981  1 Mg 1.93, 2 Mn 2.02-2.04
O 0.1297 0.1397 0.1054  1 Mg 1.97, 3 Mn 2.11-2.17
O 0.1373 0.0266 0.7629  1 Mg 1.95, 3 Mn 2.06-2.16
O 0.1722 0.4719 0.7475  4 Mn 2.10-2.26
O 0.2327 0.8637 0.4492  5 Mn 2.13-2.32
O 0.5388 0.1388 0.3762  4 Mn 2.10-2.22
O 0.6398 0.1667 0.0004  1 Mg 1.99, 3 Mn 2.11-2.22
O 0.6565 0.7330 0.8181  6 Mn 2.27-2.47
O 0.6590 0.5728 0.2126  4 Mn 2.15-2.39
O 0.7105 0.2349 0.6048  5 Mn 2.17-2.29

Computed properties:
**Energy above the most stable polymorph in this dataset**: 61.5 meV/atom
**Symmetry**: P1 (1)